# Li2B3C3

A relaxed structure of Li2B3C3 (GGA-PBE, the Alexandria database).

Calculated values
For the volume, the calculation gives 8.62 Å³ per atom. The distance to the lowest polymorph of the same formula comes out at 0.024 eV/atom.

```
data_Li2B3C3
_space_group_name_H-M_alt 'C 1 2/m 1'
_space_group_IT_number 12
_cell_length_a 14.1560
_cell_length_b 2.7168
_cell_length_c 8.5331
_cell_angle_alpha 90.00
_cell_angle_beta 122.82
_cell_angle_gamma 90.00
loop_
_space_group_symop_operation_xyz
'x,y,z'
'-x,-y,-z'
'-x,y,-z'
'x,-y,z'
'x+1/2,y+1/2,z'
'-x+1/2,-y+1/2,-z'
'-x+1/2,y+1/2,-z'
'x+1/2,-y+1/2,z'
loop_
_atom_site_label
_atom_site_fract_x
_atom_site_fract_y
_atom_site_fract_z
Li1 0.0000 0.0000 0.0000
Li2 0.0000 0.5000 0.5000
Li3 0.1673 0.0000 0.5014
B1 0.0302 0.5000 0.2543
B2 0.1373 0.0000 0.7508
B3 0.1965 0.0000 0.2472
C1 0.0239 0.0000 0.7420
C2 0.1404 0.5000 0.2510
C3 0.1903 0.5000 0.7421
```